Model P:
Density functional theory data (PBE) for a relaxed structure of SrPdN2F. Values from VASP.

```
&SYSTEM
  ibrav = 0, nat = 5, ntyp = 4
/
ATOMIC_SPECIES
Sr 87.62 Sr.upf
N 14.01 N.upf
Pd 106.42 Pd.upf
F 19.00 F.upf
CELL_PARAMETERS angstrom
-3.225 -2.126 -0.105
0.669 -1.194 3.613
-2.718 4.033 1.836
ATOMIC_POSITIONS crystal
Sr 0.500 0.500 0.500
N 0.000 0.500 0.000
N 0.500 0.000 0.000
Pd 0.000 0.000 0.000
F 0.000 0.000 0.500
```

Density   5157 kg/m³
Magnetization   1.3 μB/f.u.
Space-group type   No. 123

---

Model Q:
Density functional theory data (PBE) for a relaxed structure of SrPdN2F. Values from VASP.

```
&SYSTEM
  ibrav = 0, nat = 5, ntyp = 4
/
ATOMIC_SPECIES
Sr 87.62 Sr.upf
N 14.01 N.upf
Pd 106.42 Pd.upf
F 19.00 F.upf
CELL_PARAMETERS angstrom
5.040 0.000 0.000
0.000 5.040 0.000
0.000 0.000 4.526
ATOMIC_POSITIONS crystal
Sr 0.000 0.000 0.000
N 0.000 0.500 0.000
N 0.500 0.000 0.000
Pd 0.500 0.500 0.500
F 0.000 0.000 0.500
```

Density   3482 kg/m³
Magnetization   5.0 μB/f.u.
Space-group type   No. 123

---

Most favorable structure: model P. The second most favorable one is 1162 meV/atom above it.

---

Model P:
Density functional theory data (PBE) for a relaxed structure of SrPdNF2. Values from VASP.

```
&SYSTEM
  ibrav = 0, nat = 5, ntyp = 4
/
ATOMIC_SPECIES
Sr 87.62 Sr.upf
N 14.01 N.upf
Pd 106.42 Pd.upf
F 19.00 F.upf
CELL_PARAMETERS angstrom
4.578 0.000 0.000
0.000 4.578 0.000
0.000 0.000 3.792
ATOMIC_POSITIONS crystal
Sr 0.500 0.500 0.500
N 0.000 0.000 0.500
Pd 0.000 0.000 0.000
F 0.000 0.500 0.000
F 0.500 0.000 0.000
```

Density   5141 kg/m³
Magnetization   0.0 μB/f.u.
Space-group type   No. 123

---

Model Q:
Density functional theory data (PBE) for a relaxed structure of SrPdNF2. Values from VASP.

```
&SYSTEM
  ibrav = 0, nat = 5, ntyp = 4
/
ATOMIC_SPECIES
Sr 87.62 Sr.upf
N 14.01 N.upf
Pd 106.42 Pd.upf
F 19.00 F.upf
CELL_PARAMETERS angstrom
-4.459 0.688 -0.651
-0.946 -3.419 2.862
-0.067 3.484 4.139
ATOMIC_POSITIONS crystal
Sr 0.000 0.000 0.000
N 0.000 0.000 0.500
Pd 0.500 0.500 0.500
F 0.000 0.500 0.000
F 0.500 0.000 0.000
```

Density   3635 kg/m³
Magnetization   3.0 μB/f.u.
Space-group type   No. 123

---

Most favorable structure: model P. The second most favorable one is 641 meV/atom above it.